[1]
Ce2FeSn | PBE | optimized geometry

Output
D(E_F) (states/eV/cell): 7.70
E_tot (eV/atom): -5.944
SG: R-3m (166)
Relative energy among the computed polymorphs (meV/atom): 575
Energy of formation from the pure elements (meV per atom): 139

a b c (Å): 3.6807 3.6807 9.7931
angles (deg): 79.17 79.17 60.00
Closest atoms and distances in Å follow each position.
Fractional coordinates of all 4 atoms:
Sn1 0.0000 0.0000 0.0000  2 Ce 3.26
Ce1 0.1136 0.1136 0.6592  3 Fe 2.61
Ce2 0.8864 0.8864 0.3408  3 Fe 2.61
Fe1 0.5000 0.5000 0.5000  6 Ce 2.61

[2]
MgSbP2Cl | PBE | optimized geometry

Output
D(E_F) (states/eV/cell): 3.42
E_tot (eV/atom): -3.200
SG: P4/mmm (123)
Relative energy among the computed polymorphs (meV/atom): 129

a b c (Å): 5.0994 5.0994 5.1443
angles (deg): 90.00 90.00 90.00
Closest atoms and distances in Å follow each position.
Fractional coordinates of all 5 atoms:
Sb1 0.0000 0.0000 0.0000  4 P 2.55, 2 Cl 2.57
Mg1 0.5000 0.5000 0.5000  4 Cl 3.61, 8 P 3.62
P1 0.0000 0.5000 0.0000  2 Sb 2.55
P2 0.5000 0.0000 0.0000  2 Sb 2.55
Cl1 0.0000 0.0000 0.5000  2 Sb 2.57

Among the records above, which one has the lowest relative energy among the computed polymorphs?
MgSbP2Cl